Below is Cd2InAs after structural relaxation, with properties calculated at the PBE level.

Calculated values
Calculated total energy = -2.20 eV/atom
ΔE_f = 0.11 eV per atom
M_tot = 0.0 μB/cell
D(E_F) = 1.30 states/eV per cell

Cell: 3.2640 3.2640 8.8069 Å, 90.00 90.00 95.95°
Atoms (fractional coordinates):
Cd 0.0000 0.0000 0.0000
Cd 0.5000 0.5000 0.2469
In 0.0000 0.0000 0.5213
As 0.5000 0.5000 0.7700